Entry 1:
Density functional theory data (PBE) for a relaxed structure of Rb3Ta.

Unit cell a=6.9868 b=6.9868 c=6.9868 alpha=127.56 beta=127.56 gamma=77.34
Last column: magnetic moment on the atom in μB.
Fractional coordinates of all 4 atoms:
Rb (0.7500, 0.2500, 0.5000)  0.05
Rb (0.2500, 0.7500, 0.5000)  0.05
Rb (0.5000, 0.5000, 0.0000)  0.04
Ta (0.0000, 0.0000, 0.0000)  2.41

Output
Crystal system = tetragonal
Formation energy = 1.4467 eV per atom
Symmetry = I4/mmm, No. 139

***

Entry 2:
Density functional theory data (PBE) for a relaxed structure of RbTaTc2.

Unit cell a=4.7174 b=4.7174 c=4.7174 alpha=60.00 beta=60.00 gamma=60.00
Fractional coordinates of all 4 atoms:
Tc (0.2500, 0.2500, 0.2500)
Tc (0.7500, 0.7500, 0.7500)
Rb (0.0000, 0.0000, 0.0000)
Ta (0.5000, 0.5000, 0.5000)

Output
Crystal system = cubic
Formation energy = 1.5004 eV per atom
Offset from the most stable computed form = 0.000 kcal/mol of atoms
Symmetry = Fm-3m, No. 225

***

Entry 3:
Density functional theory data (PBE) for a relaxed structure of RbTa3Tc.

Unit cell a=4.9820 b=4.9820 c=4.9820 alpha=90.00 beta=90.00 gamma=90.00
Fractional coordinates of all 5 atoms:
Ta (0.0000, 0.5000, 0.0000)
Ta (0.0000, 0.0000, 0.5000)
Ta (0.5000, 0.0000, 0.0000)
Rb (0.5000, 0.5000, 0.5000)
Tc (0.0000, 0.0000, 0.0000)

Output
Crystal system = cubic
Formation energy = 1.4472 eV per atom
Offset from the most stable computed form = 0.000 kcal/mol of atoms
Symmetry = Pm-3m, No. 221

***

Entry 4:
Density functional theory data (PBE) for a relaxed structure of RbTa3Tc.

Unit cell a=4.7078 b=4.7078 c=4.7078 alpha=90.00 beta=90.00 gamma=90.00
Last column: magnetic moment on the atom in μB.
Fractional coordinates of all 5 atoms:
Ta (0.0000, 0.0000, 0.5000)  -0.01
Ta (0.5000, 0.0000, 0.0000)  -0.03
Ta (0.0000, 0.5000, 0.0000)  -0.01
Tc (0.5000, 0.5000, 0.5000)  0.60
Rb (0.0000, 0.0000, 0.0000)  0.00

Output
Crystal system = cubic
Formation energy = 3.3598 eV per atom
Offset from the most stable computed form = 44.107 kcal/mol of atoms
Symmetry = Pm-3m, No. 221

***

Entry 5:
Density functional theory data (PBE) for a relaxed structure of RbTaTc3.

Unit cell a=4.5831 b=4.5831 c=4.5831 alpha=90.00 beta=90.00 gamma=90.00
Fractional coordinates of all 5 atoms:
Tc (0.0000, 0.5000, 0.0000)
Tc (0.0000, 0.0000, 0.5000)
Tc (0.5000, 0.0000, 0.0000)
Ta (0.5000, 0.5000, 0.5000)
Rb (0.0000, 0.0000, 0.0000)

Output
Crystal system = cubic
Formation energy = 3.1044 eV per atom
Offset from the most stable computed form = 30.771 kcal/mol of atoms
Symmetry = Pm-3m, No. 221

***

Entry 6:
Density functional theory data (PBE) for a relaxed structure of RbTaTc2.

Unit cell a=5.0447 b=5.0447 c=9.4145 alpha=74.46 beta=74.46 gamma=90.00
Fractional coordinates of all 8 atoms:
Rb (0.2500, 0.7500, 0.5000)
Rb (0.5000, 0.5000, 0.0000)
Tc (0.9148, 0.6250, 0.2500)
Tc (0.3750, 0.1648, 0.7500)
Tc (0.8352, 0.1250, 0.2500)
Tc (0.8750, 0.0852, 0.7500)
Ta (0.7500, 0.2500, 0.5000)
Ta (0.0000, 0.0000, 0.0000)

Output
Crystal system = tetragonal
Formation energy = 1.6494 eV per atom
Offset from the most stable computed form = 3.435 kcal/mol of atoms
Symmetry = I-42d, No. 122

***

Entry 7:
Density functional theory data (PBE) for a relaxed structure of RbTaTc3.

Unit cell a=4.9499 b=4.9499 c=4.9499 alpha=90.00 beta=90.00 gamma=90.00
Last column: magnetic moment on the atom in μB.
Fractional coordinates of all 5 atoms:
Tc (0.0000, 0.5000, 0.0000)  1.41
Tc (0.0000, 0.0000, 0.5000)  1.35
Tc (0.5000, 0.0000, 0.0000)  1.42
Ta (0.0000, 0.0000, 0.0000)  -0.24
Rb (0.5000, 0.5000, 0.5000)  0.03

Output
Crystal system = cubic
Formation energy = 1.7700 eV per atom
Offset from the most stable computed form = 0.000 kcal/mol of atoms
Symmetry = Pm-3m, No. 221

***

Entry 8:
Density functional theory data (PBE) for a relaxed structure of RbTaTe3.

Unit cell a=6.3483 b=8.1030 c=8.1076 alpha=119.98 beta=90.41 gamma=90.00
Fractional coordinates of all 10 atoms:
Te (0.3934, 0.8839, 0.2069)
Te (0.8947, 0.2138, 0.3717)
Te (0.8905, 0.7189, 0.8768)
Te (0.8906, 0.2140, 0.8768)
Te (0.3892, 0.8840, 0.7120)
Te (0.3934, 0.3790, 0.2070)
Ta (0.1420, 0.0489, 0.0419)
Ta (0.6420, 0.0489, 0.0419)
Rb (0.8918, 0.7151, 0.3743)
Rb (0.3922, 0.3828, 0.7095)

Output
Crystal system = monoclinic
Raw formation energy = -0.561 eV/atom
Symmetry = C2/m, No. 12

***

Entry 9:
Density functional theory data (PBE) for a relaxed structure of Rb2Ta2Te5.

Unit cell a=5.2752 b=8.6882 c=9.1023 alpha=100.12 beta=90.00 gamma=107.67
Fractional coordinates of all 9 atoms:
Rb (0.5583, 0.1167, 0.3027)
Rb (0.4417, 0.8833, 0.6973)
Te (0.8835, 0.7669, 0.3839)
Te (0.3151, 0.6302, 0.0092)
Te (0.1165, 0.2331, 0.6161)
Te (0.0000, 0.0000, 0.0000)
Te (0.6849, 0.3698, 0.9908)
Ta (0.1426, 0.2853, 0.9040)
Ta (0.8574, 0.7147, 0.0960)

Output
Crystal system = monoclinic
Raw formation energy = -0.401 eV/atom
Symmetry = C2/m, No. 12

***

Entry 10:
Density functional theory data (PBE) for a relaxed structure of Rb7TaTe6.

Unit cell a=9.4267 b=13.5738 c=13.5738 alpha=74.38 beta=69.68 gamma=69.68
Fractional coordinates of all 28 atoms:
Te (0.9169, 0.3338, 0.6662)
Te (0.4913, 0.7701, 0.5831)
Te (0.5831, 0.8338, 0.1662)
Te (0.3445, 0.7299, 0.9169)
Te (0.4169, 0.1662, 0.8338)
Te (0.0087, 0.9169, 0.7299)
Te (0.1555, 0.5831, 0.7701)
Te (0.8445, 0.4169, 0.2299)
Te (0.5087, 0.2299, 0.4169)
Te (0.6555, 0.2701, 0.0831)
Te (0.0831, 0.6662, 0.3338)
Te (0.9913, 0.0831, 0.2701)
Rb (0.5239, 0.3996, 0.8337)
Rb (0.2199, 0.4618, 0.5382)
Rb (0.2428, 0.8337, 0.3996)
Rb (0.2801, 0.9618, 0.0382)
Rb (0.7500, 0.7500, 0.7500)
Rb (0.4761, 0.6004, 0.1663)
Rb (0.2572, 0.1004, 0.6663)
Rb (0.7428, 0.8996, 0.3337)
Rb (0.9761, 0.6663, 0.1004)
Rb (0.7801, 0.5382, 0.4618)
Rb (0.7572, 0.1663, 0.6004)
Rb (0.0239, 0.3337, 0.8996)
Rb (0.7199, 0.0382, 0.9618)
Rb (0.2500, 0.2500, 0.2500)
Ta (0.7500, 0.2500, 0.2500)
Ta (0.2500, 0.7500, 0.7500)

Output
Crystal system = orthorhombic
Raw formation energy = -0.850 eV/atom
Symmetry = Ibam, No. 72

***

Entry 11:
Density functional theory data (PBE) for a relaxed structure of Rb3TaTe.

Unit cell a=6.9391 b=6.9391 c=6.9391 alpha=90.00 beta=90.00 gamma=90.00
Last column: magnetic moment on the atom in μB.
Fractional coordinates of all 5 atoms:
Rb (0.0000, 0.0000, 0.5000)  0.01
Rb (0.0000, 0.5000, 0.0000)  0.01
Rb (0.5000, 0.0000, 0.0000)  0.00
Te (0.0000, 0.0000, 0.0000)  0.00
Ta (0.5000, 0.5000, 0.5000)  2.40

Output
Crystal system = cubic
Offset from the most stable computed form = 0.000 kcal/mol of atoms
Raw formation energy = 0.827 eV/atom
Symmetry = Pm-3m, No. 221

***

Entry 12:
Density functional theory data (PBE) for a relaxed structure of RbTaTe3.

Unit cell a=5.5441 b=5.5441 c=5.5441 alpha=90.00 beta=90.00 gamma=90.00
Fractional coordinates of all 5 atoms:
Te (0.5000, 0.0000, 0.0000)
Te (0.0000, 0.0000, 0.5000)
Te (0.0000, 0.5000, 0.0000)
Ta (0.0000, 0.0000, 0.0000)
Rb (0.5000, 0.5000, 0.5000)

Output
Crystal system = cubic
Raw formation energy = -0.344 eV/atom
Symmetry = Pm-3m, No. 221

***

Copy entry 6 word for word.
Density functional theory data (PBE) for a relaxed structure of RbTaTc2.

Unit cell a=5.0447 b=5.0447 c=9.4145 alpha=74.46 beta=74.46 gamma=90.00
Fractional coordinates of all 8 atoms:
Rb (0.2500, 0.7500, 0.5000)
Rb (0.5000, 0.5000, 0.0000)
Tc (0.9148, 0.6250, 0.2500)
Tc (0.3750, 0.1648, 0.7500)
Tc (0.8352, 0.1250, 0.2500)
Tc (0.8750, 0.0852, 0.7500)
Ta (0.7500, 0.2500, 0.5000)
Ta (0.0000, 0.0000, 0.0000)

Output
Crystal system = tetragonal
Formation energy = 1.6494 eV per atom
Offset from the most stable computed form = 3.435 kcal/mol of atoms
Symmetry = I-42d, No. 122